[1]
A plane-wave DFT calculation with PBE was carried out for a geometry-optimized AuO2 structure.

## Properties
symmetry	Fm-3m, No. 225
energy	-3.877	eV/atom

abc: 3.6502 3.6502 3.6502
angles: 60.00 60.00 60.00
Fractional positions:
1 Au 0.0000 0.0000 0.0000
2 O 0.2500 0.2500 0.2500
3 O 0.7500 0.7500 0.7500

=====

[2]
A plane-wave DFT calculation with PBE was carried out for a geometry-optimized AuO4 structure.

## Properties
symmetry	C2/m, No. 12
energy	-4.077	eV/atom

abc: 4.3836 4.3836 4.7465
angles: 111.41 111.41 42.74
Fractional positions:
1 Au 0.0000 0.0000 0.0000
2 O 0.0726 0.0726 0.4700
3 O 0.3417 0.3417 0.9597
4 O 0.6583 0.6583 0.0403
5 O 0.9274 0.9274 0.5300

=====

[3]
A plane-wave DFT calculation with PBE was carried out for a geometry-optimized Au2O structure.

## Properties
symmetry	Fd-3m, No. 227
energy	-3.593	eV/atom

abc: 6.6504 6.6504 6.6504
angles: 60.00 60.00 60.00
Fractional positions:
1 Au 0.0000 0.0000 0.0000
2 Au 0.0000 0.0000 0.5000
3 Au 0.0000 0.5000 0.0000
4 Au 0.5000 0.0000 0.0000
5 O 0.1250 0.1250 0.1250
6 O 0.8750 0.8750 0.8750

=====

[4]
A plane-wave DFT calculation with PBE was carried out for a geometry-optimized Os2AuO4 structure.

## Properties
symmetry	Fd-3m, No. 227
M_tot	3.0	μB per formula unit
energy	-6.664	eV/atom

abc: 6.3480 6.3480 6.3480
angles: 60.00 60.00 60.00
Fractional positions:
1 Os 0.0000 0.0000 0.0000
2 Os 0.0000 0.0000 0.5000
3 Os 0.0000 0.5000 0.0000
4 Os 0.5000 0.0000 0.0000
5 Au 0.3750 0.3750 0.3750
6 Au 0.6250 0.6250 0.6250
7 O 0.1819 0.7727 0.7727
8 O 0.2273 0.2273 0.2273
9 O 0.2273 0.2273 0.8181
10 O 0.2273 0.8181 0.2273
11 O 0.7727 0.1819 0.7727
12 O 0.7727 0.7727 0.1819
13 O 0.7727 0.7727 0.7727
14 O 0.8181 0.2273 0.2273